Material: Cs2Ho2BiS6
Method: DFT, PBE-GGA
State: relaxed

Formation energy from raw total energies, eV/atom: -1.3769

Cell and atoms, written as CIF:
```
data_Cs2Ho2BiS6
_space_group_name_H-M_alt 'C 1 2/m 1'
_space_group_IT_number 12
_space_group_name_Hall '-C 2y'
_cell_length_a 6.962
_cell_length_b 12.086
_cell_length_c 8.633
_cell_angle_alpha 90.00
_cell_angle_beta 105.60
_cell_angle_gamma 90.00
loop_
_atom_site_label
_atom_site_type_symbol
_atom_site_fract_x
_atom_site_fract_y
_atom_site_fract_z
Cs1 Cs 0.000 0.166 0.000
Ho1 Ho 0.000 0.333 0.500
Bi1 Bi 0.000 0.000 0.500
S1 S 0.224 0.500 0.679
S2 S 0.228 0.168 0.680
```